Record 1
Entry from Alexandria via LeMat-Bulk: a relaxed Sm3Ga8 crystal (PBE).

Cell: 13.030 13.030 13.030 Å, 161.32 161.03 26.75°
Fractional coordinates of all 11 atoms:
Sm  0.000  0.000  0.000
Sm  0.355  0.855  0.500
Sm  0.645  0.145  0.500
Ga  0.094  0.594  0.500
Ga  0.191  0.691  0.500
Ga  0.251  0.251  0.000
Ga  0.452  0.452  0.000
Ga  0.548  0.548  0.000
Ga  0.749  0.749  0.000
Ga  0.809  0.309  0.500
Ga  0.906  0.406  0.500

Energy = -0.2988 Ry per atom
Calculated formation energy = -0.5765 eV/atom

***

Record 2
Entry from Alexandria via LeMat-Bulk: a relaxed Ca2AcInSe4 crystal (PBE).

Cell: 7.565 4.393 7.588 Å, 90.00 108.56 90.00°
Fractional coordinates of all 8 atoms:
Ca  0.000  0.000  0.000
Ca  0.500  0.500  0.000
Ac  0.000  0.500  0.500
In  0.500  0.000  0.500
Se  0.232  0.500  0.227
Se  0.247  0.000  0.764
Se  0.753  0.000  0.236
Se  0.768  0.500  0.773

Energy = -0.3476 Ry per atom
Uncorrected formation energy = -1.63 eV per atom